Entry 1:
Entry from OQMD: a geometry-optimized ZrCu2Te2S structure (PBE-GGA).

Cell and atoms, written as POSCAR:
```
ZrCu2Te2S
1.0
-6.903 -5.911 4.394
-4.169 -5.556 7.324
-2.793 6.433 1.827
Cu S Te Zr
4 2 4 2
direct
0.787 0.787 0.078
0.458 0.458 0.340
0.542 0.542 0.660
0.213 0.213 0.922
0.581 0.581 0.372
0.419 0.419 0.628
0.920 0.920 0.124
0.251 0.251 0.286
0.749 0.749 0.714
0.080 0.080 0.876
0.862 0.862 0.455
0.138 0.138 0.545
```

Total DFT energy (no corrections)   -5.046 eV per atom
Energy relative to the lowest polymorph listed for this composition   0.0 meV per atom
Calculated volume   23.760 Å³ per atom
Total moment   0.0 μB per formula unit

***

Entry 2:
Entry from OQMD: a geometry-optimized ZrCu2TeS2 structure (PBE-GGA).

Cell and atoms, written as POSCAR:
```
ZrCu2TeS2
1.0
-2.519 -8.287 4.388
0.133 -6.906 6.823
-4.721 3.734 3.024
Cu S Te Zr
4 4 2 2
direct
0.787 0.787 0.063
0.458 0.458 0.339
0.542 0.542 0.661
0.213 0.213 0.937
0.255 0.255 0.280
0.587 0.587 0.358
0.413 0.413 0.642
0.745 0.745 0.720
0.920 0.920 0.106
0.080 0.080 0.894
0.848 0.848 0.459
0.152 0.152 0.541
```

Total DFT energy (no corrections)   -5.276 eV per atom
Energy relative to the lowest polymorph listed for this composition   43.2 meV per atom
Calculated volume   20.513 Å³ per atom
Total moment   0.0 μB per formula unit

***

Entry 3:
Entry from OQMD: a geometry-optimized Tl2Cu2S3 structure (PBE-GGA).

Cell and atoms, written as POSCAR:
```
Tl2Cu2S3
1.0
-5.383 -10.558 -4.095
2.340 -2.145 2.452
-8.609 0.898 9.001
Cu S Tl
8 12 8
direct
0.078 0.250 0.027
0.206 0.750 0.154
0.706 0.750 0.346
0.578 0.250 0.473
0.422 0.750 0.527
0.294 0.250 0.654
0.794 0.250 0.846
0.922 0.750 0.973
0.873 0.250 0.053
0.384 0.750 0.122
0.139 0.250 0.208
0.639 0.250 0.292
0.884 0.750 0.378
0.373 0.250 0.447
0.627 0.750 0.553
0.116 0.250 0.622
0.361 0.750 0.708
0.861 0.750 0.792
0.616 0.250 0.878
0.127 0.750 0.947
0.671 0.750 0.075
0.434 0.250 0.249
0.934 0.250 0.251
0.171 0.750 0.425
0.829 0.250 0.575
0.066 0.750 0.749
0.566 0.750 0.751
0.329 0.250 0.925
```

Total DFT energy (no corrections)   -3.731 eV per atom
Calculated volume   22.431 Å³ per atom